First-principles (meta-GGA SCAN) data for a PBEsol-optimized structure of ZrBe2Al, as listed in Alexandria.

Cell lengths 3.8076, 3.8076, 13.2390 Å; angles 90.00, 90.00, 120.00 degrees
Space group R-3m (No. 166, hexagonal axes)
Symmetry-distinct sites (fractional):
Zr (0.0000, 0.0000, 0.0000) [3 per cell]
Be (0.0000, 0.0000, 0.2073) [6 per cell]
Al (0.0000, 0.0000, 0.5000) [3 per cell]

Formation enthalpy at 0 K (kJ per mole of atoms): -17
Calculated total energy (eV/atom): -11.970
N(E_F) (states/eV/atom): 0.5531

First-principles (meta-GGA SCAN) data for a PBEsol-optimized structure of Zr2Be2Al, as listed in Alexandria.

Cell lengths 6.340, 6.340, 3.841 Å; angles 90.00, 90.00, 90.00 degrees
Space group P4/mbm (No. 127)
Symmetry-distinct sites (fractional):
Zr (0.171, 0.329, 0.000) [4 per cell]
Be (0.122, 0.622, 0.500) [4 per cell]
Al (0.000, 0.000, 0.500) [2 per cell]

Formation enthalpy at 0 K (kJ per mole of atoms): -35
Calculated total energy (eV/atom): -15.933
N(E_F) (states/eV/atom): 0.4946

First-principles (meta-GGA SCAN) data for a PBEsol-optimized structure of ZrBe2Al, as listed in Alexandria.

Cell lengths 2.877, 2.877, 6.579 Å; angles 90.00, 90.00, 90.00 degrees
Space group P4mm (No. 99)
Symmetry-distinct sites (fractional):
Zr (0.000, 0.000, 0.000) [1 per cell]
Be (0.000, 0.000, 0.564) [1 per cell]
Be (0.500, 0.500, 0.713) [1 per cell]
Al (0.500, 0.500, 0.325) [1 per cell]

Formation enthalpy at 0 K (kJ per mole of atoms): -3
Calculated total energy (eV/atom): -11.826
N(E_F) (states/eV/atom): 0.3026